1.
An optimized crystal structure of GaSeIO2, computed with PBE-GGA.

Summary:
As for the crystal system: tetragonal. The formation energy (no corrections) is 2.68 kJ/mol of atoms. The distance to the lowest polymorph of the same formula is 215 meV/atom. The energy is -17.84 eV/cell. The value obtained for the density of states at the Fermi level is 2.67 states/eV/f.u. As for the space group: P4/mmm, No. 123.

Geometry as extended XYZ:
```
5
Lattice="3.994 0.000 0.000 0.000 3.994 0.000 0.000 0.000 7.358" Properties=species:S:1:pos:R:3 pbc="T T T"
Ga 0.000 0.000 0.000
Se 1.997 1.997 3.679
I 1.997 1.997 0.000
O 0.000 1.997 3.679
O 1.997 0.000 3.679
```

2.
An optimized crystal structure of Sr2Li17Pt3, computed with PBE-GGA.

Summary:
As for the crystal system: trigonal. The calculation puts the formation energy at -0.161 eV per atom. The energy is -57.57 eV/cell. The value obtained for the density of states at the Fermi level is 9.07 states/eV/f.u. As for the space group: R-3m, No. 166.

Geometry as extended XYZ:
```
22
Lattice="5.224 3.016 5.011 -5.224 3.016 5.011 0.000 -6.033 5.011" Properties=species:S:1:pos:R:3 pbc="T T T"
Sr 0.000 0.000 2.524
Sr 0.000 0.000 12.510
Li -2.612 -1.508 5.011
Li 0.000 -3.054 4.995
Li -2.645 1.527 4.995
Li -1.402 -2.428 7.517
Li -2.804 0.000 7.517
Li -2.645 -1.527 10.038
Li 0.000 0.000 6.132
Li -2.612 1.508 10.022
Li 1.402 -2.428 7.517
Li 0.000 3.016 5.011
Li -1.402 2.428 7.517
Li 0.000 0.000 8.901
Li 2.645 1.527 4.995
Li 2.804 0.000 7.517
Li 1.402 2.428 7.517
Li 2.645 -1.527 10.038
Li 0.000 3.054 10.038
Pt -5.224 0.000 7.517
Pt -2.612 1.508 2.506
Pt 2.612 1.508 2.506
```

3.
An optimized crystal structure of YSb2Rh2, computed with PBE-GGA.

Summary:
As for the crystal system: tetragonal. The formation energy (no corrections) is -61.02 kJ/mol of atoms. The energy is -32.57 eV/cell. The value obtained for the density of states at the Fermi level is 3.39 states/eV/f.u. As for the space group: I4/mmm, No. 139.

Geometry as extended XYZ:
```
5
Lattice="-2.188 2.188 5.587 2.188 -2.188 5.587 2.188 2.188 -5.587" Properties=species:S:1:pos:R:3 pbc="T T T"
Y 0.000 0.000 0.000
Sb 0.000 0.000 4.189
Sb 0.000 0.000 6.984
Rh 2.188 0.000 2.793
Rh 0.000 2.188 2.793
```

4.
An optimized crystal structure of LiMnSe2, computed with PBE-GGA.

Summary:
As for the crystal system: cubic. The formation energy (no corrections) is 8.50 kJ/mol of atoms. The energy is -17.70 eV/cell. The value obtained for the density of states at the Fermi level is 1.74 states/eV/f.u. As for the space group: F-43m, No. 216.

Geometry as extended XYZ:
```
4
Lattice="0.000 3.335 3.335 3.335 0.000 3.335 3.335 3.335 0.000" Properties=species:S:1:pos:R:3 pbc="T T T"
Li 0.000 0.000 0.000
Mn 1.668 1.668 1.668
Se 3.335 3.335 3.335
Se 5.003 5.003 5.003
```

5.
An optimized crystal structure of La3GeSeCl, computed with PBE-GGA.

Summary:
As for the crystal system: monoclinic. The formation energy (no corrections) is -133.76 kJ/mol of atoms. The energy is -66.10 eV/cell. The value obtained for the density of states at the Fermi level is 1.93 states/eV/f.u. As for the space group: P2_1/m, No. 11.

Geometry as extended XYZ:
```
12
Lattice="8.829 0.000 0.000 0.000 4.322 0.000 -0.526 0.000 10.417" Properties=species:S:1:pos:R:3 pbc="T T T"
La 0.827 1.080 3.691
La 0.968 1.080 9.679
La 3.005 3.241 6.675
La 5.298 1.080 3.742
La 7.335 3.241 0.739
La 7.476 3.241 6.727
Ge 0.842 1.080 6.756
Ge 7.462 3.241 3.661
Se 3.071 3.241 3.619
Se 5.232 1.080 6.799
Cl 2.840 3.241 9.613
Cl 5.463 1.080 0.805
```

6.
An optimized crystal structure of SrZnCu2, computed with PBE-GGA.

Summary:
As for the crystal system: tetragonal. The calculation puts the formation energy at 0.225 eV per atom. The energy is -10.25 eV/cell. The value obtained for the density of states at the Fermi level is 1.73 states/eV/f.u. As for the space group: P4/mmm, No. 123.

Geometry as extended XYZ:
```
4
Lattice="4.568 0.000 0.000 0.000 4.568 0.000 0.000 0.000 3.955" Properties=species:S:1:pos:R:3 pbc="T T T"
Sr 0.000 0.000 0.000
Zn 2.284 2.284 0.000
Cu 0.000 2.284 1.977
Cu 2.284 0.000 1.977
```

7.
An optimized crystal structure of HfNbCdAg2, computed with PBE-GGA.

Summary:
As for the crystal system: tetragonal. The calculation puts the formation energy at 1.202 eV per atom. The energy is -20.63 eV/cell. The value obtained for the density of states at the Fermi level is 4.65 states/eV/f.u. As for the space group: P4/mmm, No. 123.

Geometry as extended XYZ:
```
5
Lattice="5.208 0.000 0.000 0.000 5.208 0.000 0.000 0.000 4.913" Properties=species:S:1:pos:R:3 pbc="T T T"
Hf 0.000 0.000 0.000
Nb 0.000 0.000 2.457
Cd 2.604 2.604 2.457
Ag 0.000 2.604 0.000
Ag 2.604 0.000 0.000
```

8.
An optimized crystal structure of Pm3SbTe2, computed with PBE-GGA.

Summary:
As for the crystal system: orthorhombic. The formation energy (no corrections) is -102.90 kJ/mol of atoms. The distance to the lowest polymorph of the same formula is 302 meV/atom. The energy is -62.11 eV/cell. The value obtained for the density of states at the Fermi level is 4.09 states/eV/f.u. As for the space group: Cmcm, No. 63.

Geometry as extended XYZ:
```
12
Lattice="7.485 -3.792 0.000 7.485 3.792 0.000 0.000 0.000 7.566" Properties=species:S:1:pos:R:3 pbc="T T T"
Pm 7.485 3.509 5.675
Pm 5.174 0.000 0.000
Pm 5.174 0.000 3.783
Pm 9.795 0.000 0.000
Pm 9.795 0.000 3.783
Pm 7.485 -3.509 1.892
Sb 7.485 1.030 1.892
Sb 7.485 -1.030 5.675
Te 2.893 1.294 1.892
Te 2.893 -1.294 5.675
Te 12.076 1.294 1.892
Te 12.076 -1.294 5.675
```

9.
An optimized crystal structure of K2PuH12Pd3, computed with PBE-GGA.

Summary:
As for the crystal system: trigonal. The energy is -75.87 eV/cell. The value obtained for the density of states at the Fermi level is 12.92 states/eV/f.u. As for the space group: R-3m, No. 166.

Geometry as extended XYZ:
```
18
Lattice="3.499 2.020 4.897 -3.499 2.020 4.897 0.000 -4.041 4.897" Properties=species:S:1:pos:R:3 pbc="T T T"
K 0.000 0.000 1.642
K 0.000 0.000 13.050
Pu 0.000 0.000 7.346
H -1.850 -1.068 6.570
H 0.000 -1.403 5.103
H -1.215 0.702 5.103
H 0.000 -2.136 8.122
H -1.850 1.068 8.122
H -1.215 -0.702 9.589
H 1.215 0.702 5.103
H 1.850 -1.068 6.570
H 0.000 2.136 6.570
H 1.215 -0.702 9.589
H 0.000 1.403 9.589
H 1.850 1.068 8.122
Pd -1.750 -1.010 4.897
Pd -1.750 1.010 9.795
Pd 0.000 2.020 4.897
```

10.
An optimized crystal structure of MoPb2Cl, computed with PBE-GGA.

Summary:
As for the crystal system: orthorhombic. The formation energy (no corrections) is 32.66 kJ/mol of atoms. The distance to the lowest polymorph of the same formula is 110 meV/atom. The energy is -18.74 eV/cell. The value obtained for the density of states at the Fermi level is 3.42 states/eV/f.u. As for the space group: Cmmm, No. 65.

Geometry as extended XYZ:
```
4
Lattice="2.001 -2.578 0.000 2.001 2.578 0.000 0.000 0.000 9.099" Properties=species:S:1:pos:R:3 pbc="T T T"
Mo 0.000 0.000 0.000
Pb 2.001 0.000 2.169
Pb 2.001 0.000 6.930
Cl 0.000 0.000 4.549
```

11.
An optimized crystal structure of Pm12NdRh4, computed with PBE-GGA.

Summary:
As for the crystal system: cubic. The calculation puts the formation energy at -0.237 eV per atom. The energy is -95.22 eV/cell. The value obtained for the density of states at the Fermi level is 20.59 states/eV/f.u. As for the space group: Im-3, No. 204.

Geometry as extended XYZ:
```
17
Lattice="-5.199 5.199 5.199 5.199 -5.199 5.199 5.199 5.199 -5.199" Properties=species:S:1:pos:R:3 pbc="T T T"
Pm 5.199 -1.908 3.386
Pm 3.291 1.813 0.000
Pm 7.107 1.813 0.000
Pm 3.386 5.199 -1.908
Pm 1.813 0.000 3.291
Pm 0.000 3.291 1.813
Pm 5.199 1.908 3.386
Pm 3.386 5.199 1.908
Pm 1.813 0.000 7.107
Pm -1.908 3.386 5.199
Pm 1.908 3.386 5.199
Pm 0.000 7.107 1.813
Nd 0.000 0.000 0.000
Rh 2.600 2.600 -2.600
Rh 2.600 -2.600 2.600
Rh -2.600 2.600 2.600
Rh 2.600 2.600 2.600
```

12.
An optimized crystal structure of Mn2SeCl, computed with PBE-GGA.

Summary:
As for the crystal system: trigonal. The formation energy (no corrections) is -23.87 kJ/mol of atoms. The distance to the lowest polymorph of the same formula is 82 meV/atom. The energy is -24.66 eV/cell. The value obtained for the density of states at the Fermi level is 3.99 states/eV/f.u. As for the space group: R3m, No. 160.

Geometry as extended XYZ:
```
4
Lattice="1.673 0.966 8.611 -1.673 0.966 8.611 0.000 -1.932 8.611" Properties=species:S:1:pos:R:3 pbc="T T T"
Mn 0.000 0.000 0.000
Mn 0.000 0.000 6.537
Se 0.000 0.000 18.591
Cl 0.000 0.000 13.606
```